Entry from Alexandria via LeMat-Bulk: a relaxed structure of Er8IrPb2 (GGA-PBE).

Cell lengths 4.989, 6.627, 10.003 Å; angles 105.62, 104.44, 90.00 degrees
Atoms (fractional coordinates):
Er1 0.412 0.548 0.825
Er2 0.643 0.005 0.287
Er3 0.782 0.672 0.563
Er4 0.980 0.213 0.959
Er5 0.218 0.328 0.437
Er6 0.357 0.995 0.713
Er7 0.588 0.452 0.175
Er8 0.020 0.787 0.041
Ir1 0.500 0.000 0.000
Pb1 0.818 0.238 0.637
Pb2 0.182 0.762 0.363

- calculated density (g cm⁻³) = 10.50
- energy of formation (eV/atom) = -0.3725
- symmetry = C2/m, No. 12